[1]
4
Lattice="-1.245 3.495 -1.842 0.475 -1.131 -2.466 -4.703 -3.040 -2.588" Properties=species:S:1:pos:R:3 comment="CoWAu2 PBE optimized geometry" delta_e_f_ev_per_atom=0.443 pbc="T T T"
Au 0.466 -1.134 -2.466
Au -2.105 -2.082 -2.527
Co -1.680 0.705 -2.185
W -3.794 -1.381 -4.712


[2]
4
Lattice="4.060 0.000 0.000 2.030 3.516 0.000 2.030 1.172 6.794" Properties=species:S:1:pos:R:3 comment="Eu2GeF PBE optimized geometry" formation_energy_uncorrected_kj_per_mol_fu=-600 pbc="T T T"
Eu 2.030 1.172 1.501
Eu 6.089 3.516 5.293
Ge 4.060 2.344 3.397
F 0.000 0.000 0.000


[3]
4
Lattice="2.916 0.000 0.000 0.000 4.352 0.000 0.000 0.000 4.406" Properties=species:S:1:pos:R:3 comment="Cr2RuCl PBE optimized geometry" formation_energy_uncorrected_kj_per_mol_fu=251 pbc="T T T"
Ru 1.458 0.000 2.203
Cl 0.000 2.176 2.203
Cr 0.000 0.000 0.000
Cr 1.458 2.176 0.000


[4]
10
Lattice="-5.256 1.490 -3.369 -0.389 -6.062 -2.075 -3.017 -1.231 4.162" Properties=species:S:1:pos:R:3 comment="Si2PdPb2 PBE optimized geometry" formation_energy_uncorrected_kj_per_mol_fu=16 pbc="T T T"
Pb -2.722 -4.472 0.061
Pb -5.404 -4.569 -1.912
Pb -5.940 -1.331 -1.343
Pb -3.258 -1.234 0.630
Si -2.265 -4.708 -3.034
Si -4.802 -2.547 -4.234
Si -3.380 0.136 -2.410
Si -0.843 -2.025 -1.210
Pd 0.000 0.000 0.000
Pd -2.823 -2.286 -2.722


| no. | calculated volume (Å³ per cell) | energy (eV per atom) |
| --- | --- | --- |
| 1 | 63.0 | -6.211 |
| 2 | 97.0 | -8.315 |
| 3 | 55.9 | -6.942 |
| 4 | 217.8 | -4.657 |